Entry 1:
GGA-PBE Tb6PrAl2, relaxed; formation enthalpy at 0 K = -0.15 eV per atom; M_tot = 0.0 μB per formula unit; space-group type = C2/m; N(E_F) = 1.133 states/eV/atom
1.0
6.299 -1.865 0.000
6.299 1.865 0.000
-3.786 0.000 11.211
Tb Pr Al
6 1 2
direct
0.019 0.019 0.331
0.309 0.309 0.126
0.311 0.311 0.415
0.689 0.689 0.585
0.691 0.691 0.874
0.981 0.981 0.669
0.000 0.000 0.000
0.349 0.349 0.785
0.651 0.651 0.215

***

Entry 2:
GGA-PBE TbPr2Al, relaxed; formation enthalpy at 0 K = -0.01 eV per atom; M_tot = 0.5 μB per formula unit; space-group type = R3m; N(E_F) = 1.319 states/eV/atom; energy relative to the lowest polymorph listed for this composition = 166 meV per atom
1.0
1.851 1.068 10.747
-1.851 1.068 10.747
0.000 -2.137 10.747
Tb Pr Al
1 2 1
direct
0.000 0.000 0.000
0.240 0.240 0.240
0.427 0.427 0.427
0.834 0.834 0.834

***

Entry 3:
GGA-PBE TbPr7Al4, relaxed; formation enthalpy at 0 K = -0.07 eV per atom; M_tot = 0.0 μB per formula unit; space-group type = C2/m; N(E_F) = 1.074 states/eV/atom
1.0
7.098 -2.859 0.000
7.098 2.859 0.000
-6.081 0.000 8.942
Tb Pr Al
1 7 4
direct
0.000 0.000 0.000
0.066 0.066 0.386
0.205 0.205 0.881
0.295 0.295 0.353
0.500 0.500 0.000
0.705 0.705 0.647
0.795 0.795 0.119
0.934 0.934 0.614
0.326 0.326 0.669
0.449 0.449 0.241
0.551 0.551 0.759
0.674 0.674 0.331

***

Entry 4:
GGA-PBE Tb3Pr12Al, relaxed; formation enthalpy at 0 K = -0.02 eV per atom; M_tot = 0.0 μB per formula unit; space-group type = P4/mmm; N(E_F) = 1.350 states/eV/atom
1.0
5.110 0.000 0.000
0.000 5.110 0.000
0.000 0.000 20.750
Tb Pr Al
3 12 1
direct
0.000 0.000 0.000
0.000 0.000 0.254
0.000 0.000 0.746
0.000 0.500 0.128
0.000 0.500 0.383
0.000 0.500 0.617
0.000 0.500 0.872
0.500 0.000 0.128
0.500 0.000 0.383
0.500 0.000 0.617
0.500 0.000 0.872
0.500 0.500 0.000
0.500 0.500 0.255
0.500 0.500 0.500
0.500 0.500 0.745
0.000 0.000 0.500

***

Entry 5:
GGA-PBE Tb6PrAl, relaxed; formation enthalpy at 0 K = 0.23 eV per atom; M_tot = 0.7 μB per formula unit; space-group type = C2/m; N(E_F) = 1.437 states/eV/atom; energy relative to the lowest polymorph listed for this composition = 291 meV per atom
1.0
3.464 -6.074 0.000
3.464 6.074 0.000
-3.404 0.000 5.984
Tb Pr Al
6 1 1
direct
0.197 0.759 0.757
0.241 0.803 0.243
0.472 0.472 0.236
0.528 0.528 0.764
0.759 0.197 0.757
0.803 0.241 0.243
0.000 0.000 0.500
0.000 0.000 0.000

***

Entry 6:
GGA-PBE Tb7PrAl4, relaxed; formation enthalpy at 0 K = -0.06 eV per atom; M_tot = 0.3 μB per formula unit; space-group type = C2/m; N(E_F) = 1.046 states/eV/atom
1.0
6.964 -2.773 0.000
6.964 2.773 0.000
-5.933 0.000 8.644
Tb Pr Al
7 1 4
direct
0.000 0.000 0.000
0.202 0.202 0.644
0.290 0.290 0.123
0.434 0.434 0.610
0.566 0.566 0.390
0.710 0.710 0.877
0.798 0.798 0.356
0.500 0.500 0.000
0.053 0.053 0.762
0.177 0.177 0.332
0.823 0.823 0.668
0.947 0.947 0.238

***

Entry 7:
GGA-PBE Tb2Pr2Al, relaxed; formation enthalpy at 0 K = 0.40 eV per atom; M_tot = 0.0 μB per formula unit; space-group type = R-3m; N(E_F) = 1.205 states/eV/atom; energy relative to the lowest polymorph listed for this composition = 545 meV per atom
1.0
2.481 1.432 8.521
-2.481 1.432 8.521
0.000 -2.865 8.521
Tb Pr Al
2 2 1
direct
0.201 0.201 0.201
0.799 0.799 0.799
0.066 0.066 0.066
0.934 0.934 0.934
0.500 0.500 0.500

***

Entry 8:
GGA-PBE TbPr2Al, relaxed; formation enthalpy at 0 K = -0.13 eV per atom; M_tot = 0.0 μB per formula unit; space-group type = P4/mmm; N(E_F) = 0.987 states/eV/atom; energy relative to the lowest polymorph listed for this composition = 41 meV per atom
1.0
3.604 0.000 0.000
0.000 3.604 0.000
0.000 0.000 9.366
Tb Pr Al
1 2 1
direct
0.000 0.000 0.000
0.500 0.500 0.284
0.500 0.500 0.716
0.000 0.000 0.500